DFT (PBE-GGA) results for a relaxed Th3CoTeSe crystal.

Calculated values
The value obtained for the raw total energy is -6.821 eV per atom. The total magnetization comes out at 0.0 μB per formula unit. For the formation energy (no corrections), the calculation gives -0.8227 eV per atom.

Cell: 8.1761 3.9638 10.3465 Å, 90.00 111.34 90.00°
Last column: nearest neighbours and their distance in Å.
Sites, in units of the cell vectors:
1 Th 0.1541 0.2500 0.1348  2 Co 2.76
2 Th 0.2810 0.7500 0.4850  3 Se 3.03-3.12, 1 Co 3.17, 3 Te 3.24-3.39
3 Th 0.3115 0.7500 0.9040  2 Co 2.88, 1 Se 2.92
4 Th 0.6885 0.2500 0.0960  2 Co 2.88, 1 Se 2.92
5 Th 0.7190 0.2500 0.5150  3 Se 3.03-3.12, 1 Co 3.17, 3 Te 3.24-3.39
6 Th 0.8459 0.7500 0.8652  2 Co 2.76
7 Co 0.0396 0.2500 0.8025  2 Se 2.57, 4 Th 2.76-2.88
8 Co 0.9604 0.7500 0.1975  2 Se 2.57, 4 Th 2.76-2.88
9 Te 0.4986 0.2500 0.7366  8 Th 3.24-3.47
10 Te 0.5014 0.7500 0.2634  8 Th 3.24-3.47
11 Se 0.0159 0.7500 0.6388  2 Co 2.57
12 Se 0.9841 0.2500 0.3612  2 Co 2.57

DFT (PBE-GGA) results for a relaxed PmGa6Ag crystal.

Calculated values
As for the energy of formation: -203.6 meV per atom. The value obtained for the raw total energy is -3.424 eV per atom. The total magnetization comes out at 0.0 μB per formula unit.

Cell: 4.8464 6.8285 4.7872 Å, 90.00 90.00 90.00°
Last column: nearest neighbours and their distance in Å.
Sites, in units of the cell vectors:
1 Pm 0.0000 0.0000 0.0000  12 Ga 3.09-3.41
2 Ga 0.0000 0.2895 0.5050  5 Ga 2.78-2.88, 2 Ag 2.95, 1 Pm 3.09
3 Ga 0.0000 0.5000 0.0085  8 Ga 2.78-2.93, 2 Ag 2.85
4 Ga 0.0000 0.7105 0.5050  5 Ga 2.78-2.88, 2 Ag 2.95, 1 Pm 3.09
5 Ga 0.5000 0.0000 0.4489  2 Ga 2.71
6 Ga 0.5000 0.2957 0.8277  6 Ga 2.71-2.93, 2 Ag 2.75-2.79
7 Ga 0.5000 0.7043 0.8277  6 Ga 2.71-2.93, 2 Ag 2.75-2.79
8 Ag 0.5000 0.5000 0.3228  10 Ga 2.75-2.95

DFT (PBE-GGA) results for a relaxed BeSeBrN2 crystal.

Calculated values
Its energy above the most stable polymorph in this dataset is 0 meV/atom. The value obtained for the raw total energy is -3.743 eV per atom. The total magnetization comes out at 2.0 μB per formula unit. For the formation energy (no corrections), the calculation gives 1.3643 eV per atom.

Cell: 3.6102 3.6102 6.5849 Å, 90.00 90.00 90.00°
Last column: nearest neighbours and their distance in Å.
Sites, in units of the cell vectors:
1 Be 0.0000 0.0000 0.0000  4 N 1.81
2 Se 0.0000 0.0000 0.5000  4 Br 2.55
3 Br 0.5000 0.5000 0.5000  4 Se 2.55
4 N 0.0000 0.5000 0.0000  2 Be 1.81
5 N 0.5000 0.0000 0.0000  2 Be 1.81